Below is Zn2MoBr after structural relaxation, with properties calculated at the PBE level.

Unit cell a=3.012 b=5.529 c=9.436 alpha=90.00 beta=90.00 gamma=90.00
Space group Cmm2 (No. 35)
One atom of each set of equivalent atoms:
Zn  0.000  0.000  0.000 x2
Zn  0.000  0.500  0.224 x2
Mo  0.000  0.500  0.770 x2
Br  0.000  0.000  0.552 x2

Values from the calculation:
The density of states at the Fermi level comes out at 3.93 states/eV per cell. Its volume is 19.64 Å³ per atom. The calculation puts the density at 6.48 Mg/m³. For the energy above the most stable polymorph in this dataset, the calculation gives 0.201 eV/atom.

---

Below is CaGaS3 after structural relaxation, with properties calculated at the PBE level.

Unit cell a=5.339 b=5.339 c=5.339 alpha=90.00 beta=90.00 gamma=90.00
Space group Pm-3m (No. 221)
One atom of each set of equivalent atoms:
Ca  0.000  0.000  0.000 x1
Ga  0.500  0.500  0.500 x1
S  0.000  0.000  0.500 x3

Values from the calculation:
The density of states at the Fermi level comes out at 2.21 states/eV per cell. Its volume is 30.43 Å³ per atom. The calculation puts the density at 2.25 Mg/m³. For the energy above the most stable polymorph in this dataset, the calculation gives 0.669 eV/atom.

---

Below is LiGe3H after structural relaxation, with properties calculated at the PBE level.

Unit cell a=4.246 b=4.246 c=4.246 alpha=90.00 beta=90.00 gamma=90.00
Space group Pm-3m (No. 221)
One atom of each set of equivalent atoms:
Li  0.000  0.000  0.000 x1
Ge  0.000  0.500  0.500 x3
H  0.500  0.500  0.500 x1

Values from the calculation:
The density of states at the Fermi level comes out at 1.19 states/eV per cell. Its volume is 15.31 Å³ per atom. The calculation puts the density at 4.90 Mg/m³. For the energy above the most stable polymorph in this dataset, the calculation gives 0.000 eV/atom.

---

Below is La2Pm6Ga after structural relaxation, with properties calculated at the PBE level.

Unit cell a=17.610 b=9.659 c=3.601 alpha=90.00 beta=91.10 gamma=90.00
Space group C2/m (No. 12)
One atom of each set of equivalent atoms:
La  0.170  0.000  0.485 x4
Pm  0.000  0.232  0.500 x4
Pm  0.164  0.332  0.995 x8
Ga  0.000  0.500  0.000 x2

Values from the calculation:
The density of states at the Fermi level comes out at 26.97 states/eV per cell. Its volume is 34.02 Å³ per atom. The calculation puts the density at 6.60 Mg/m³. The energy of formation from the pure elements is 0.027 eV per atom.

---

Below is Zr2SbAs after structural relaxation, with properties calculated at the PBE level.

Unit cell a=7.024 b=7.024 c=7.024 alpha=90.00 beta=90.00 gamma=90.00
Space group F-43m (No. 216)
One atom of each set of equivalent atoms:
Zr  0.000  0.000  0.000 x4
Zr  0.250  0.250  0.250 x4
Sb  0.000  0.000  0.500 x4
As  0.250  0.250  0.750 x4

Values from the calculation:
The density of states at the Fermi level comes out at 14.96 states/eV per cell. Its volume is 21.66 Å³ per atom. The calculation puts the density at 7.27 Mg/m³. For the energy, the calculation gives -6.57 eV/atom.

---

Below is SiTeAs2Br after structural relaxation, with properties calculated at the PBE level.

Unit cell a=5.400 b=5.400 c=5.375 alpha=90.00 beta=90.00 gamma=90.00
Space group P4/mmm (No. 123)
One atom of each set of equivalent atoms:
Si  0.000  0.000  0.000 x1
Te  0.500  0.500  0.500 x1
As  0.000  0.500  0.500 x2
Br  0.500  0.500  0.000 x1

Values from the calculation:
The density of states at the Fermi level comes out at 6.89 states/eV per cell. Its volume is 31.35 Å³ per atom. The calculation puts the density at 4.08 Mg/m³. For the energy above the most stable polymorph in this dataset, the calculation gives 0.634 eV/atom.

---

Below is NbPd2O2 after structural relaxation, with properties calculated at the PBE level.

Unit cell a=3.539 b=3.539 c=10.464 alpha=90.00 beta=90.00 gamma=90.00
Space group I4/mmm (No. 139)
One atom of each set of equivalent atoms:
Nb  0.000  0.000  0.000 x2
Pd  0.000  0.000  0.375 x4
O  0.000  0.500  0.250 x4

Values from the calculation:
The density of states at the Fermi level comes out at 11.23 states/eV per cell. Its volume is 13.11 Å³ per atom. The calculation puts the density at 8.56 Mg/m³. For the energy, the calculation gives -5.98 eV/atom.

---

Below is PrPaAu after structural relaxation, with properties calculated at the PBE level.

Unit cell a=5.0057 b=5.0057 c=3.5521 alpha=90.00 beta=90.00 gamma=120.00
Space group P3m1 (No. 156)
One atom of each set of equivalent atoms:
Pr  0.0000  0.0000  0.0000 x1
Pa  0.6667  0.3333  0.3730 x1
Au  0.3333  0.6667  0.5798 x1

Values from the calculation:
The density of states at the Fermi level comes out at 4.27 states/eV per cell. Its volume is 25.69 Å³ per atom. The calculation puts the density at 12.26 Mg/m³. The energy of formation from the pure elements is 0.003 eV per atom. For the energy above the most stable polymorph in this dataset, the calculation gives 0.038 eV/atom.

---

Below is Nb5Pd12Au2 after structural relaxation, with properties calculated at the PBE level.

Unit cell a=15.016 b=5.413 c=8.819 alpha=90.00 beta=105.26 gamma=90.00
Space group C2/m (No. 12)
One atom of each set of equivalent atoms:
Nb  0.000  0.000  0.000 x2
Nb  0.131  0.500  0.376 x4
Nb  0.198  0.500  0.883 x4
Pd  0.018  0.500  0.854 x4
Pd  0.129  0.000  0.834 x4
Pd  0.149  0.254  0.120 x8
Pd  0.203  0.242  0.620 x8
Au  0.000  0.246  0.500 x4

Values from the calculation:
The density of states at the Fermi level comes out at 19.96 states/eV per cell. Its volume is 18.20 Å³ per atom. The calculation puts the density at 10.26 Mg/m³. The energy of formation from the pure elements is -0.037 eV per atom.

---

Below is Li2MgPbF6 after structural relaxation, with properties calculated at the PBE level.

Unit cell a=5.4233 b=5.4233 c=14.6517 alpha=90.00 beta=90.00 gamma=120.00
Space group R3 (No. 146, hexagonal axes)
One atom of each set of equivalent atoms:
Li  0.0000  0.0000  0.0000 x3
Li  0.0000  0.0000  0.4904 x3
Mg  0.0000  0.0000  0.7002 x3
Pb  0.0000  0.0000  0.2192 x3
F  0.0000  0.3344  0.0974 x9
F  0.0215  0.5893  0.2742 x9

Values from the calculation:
The density of states at the Fermi level comes out at 0.00 states/eV per cell. Its volume is 12.44 Å³ per atom. The calculation puts the density at 4.80 Mg/m³. For the energy, the calculation gives -4.94 eV/atom.

---

Below is CePm3Dy6Er2 after structural relaxation, with properties calculated at the PBE level.

Unit cell a=6.176 b=10.693 c=11.800 alpha=90.00 beta=100.04 gamma=90.00
Space group C2/m (No. 12)
One atom of each set of equivalent atoms:
Ce  0.000  0.000  0.000 x2
Pm  0.000  0.168  0.500 x4
Pm  0.000  0.500  0.500 x2
Dy  0.248  0.166  0.247 x8
Dy  0.249  0.000  0.753 x4
Er  0.000  0.333  0.000 x4

Values from the calculation:
The density of states at the Fermi level comes out at 37.32 states/eV per cell. Its volume is 31.97 Å³ per atom. The calculation puts the density at 8.16 Mg/m³. The energy of formation from the pure elements is 0.034 eV per atom.